## La2In3 (PBE-GGA)

Data for crystalline La2In3 at its relaxed geometry.

abc: 5.389 5.389 6.777
angles: 90.00 90.00 120.00
Element x y z (fractional)
La: 0.333 0.667 0.313
La: 0.667 0.333 0.687
In: 0.000 0.000 0.500
In: 0.333 0.667 0.840
In: 0.667 0.333 0.160

Results
Density (g/cm3): 6.06
Electronic total energy (eV per formula unit): -19.319
Formation energy from the elements (eV/atom): -0.250
Volume (A^3/atom): 34.09

## Cu2Si2I (PBE-GGA)

Data for crystalline Cu2Si2I at its relaxed geometry.

abc: 7.857 7.857 2.905
angles: 90.00 90.00 90.00
Element x y z (fractional)
Cu: 0.158 0.342 0.000
Cu: 0.342 0.842 0.000
Cu: 0.658 0.158 0.000
Cu: 0.842 0.658 0.000
Si: 0.112 0.612 0.500
Si: 0.388 0.112 0.500
Si: 0.612 0.888 0.500
Si: 0.888 0.388 0.500
I: 0.000 0.000 0.000
I: 0.500 0.500 0.000

Results
Density (g/cm3): 5.75
Electronic total energy (eV per formula unit): -18.158
Uncorrected formation energy (eV/atom): 0.4862
Volume (A^3/atom): 17.93

Among the records above, which one has the highest density?
La2In3

Number 2 is which compound?
Cu2Si2I

Among the records above, which one has the highest density?
La2In3

Which formula does entry 1 have?
La2In3